Record 1
5
Lattice="5.824 0.000 0.000 0.000 5.824 0.000 0.000 0.000 5.824" Properties=species:S:1:pos:R:3 comment="La3CdAg, optimized geometry, DFT PBE-GGA" delta_e_f_ev_per_atom=0.251 crystal_system=cubic de_polymorph_mev_per_atom=472 pbc="T T T"
La 0.000 0.000 2.912
La 0.000 2.912 0.000
La 2.912 0.000 0.000
Cd 2.912 2.912 2.912
Ag 0.000 0.000 0.000

---

Record 2
10
Lattice="2.743 -10.174 0.000 2.743 10.174 0.000 0.000 0.000 5.488" Properties=species:S:1:pos:R:3 comment="La3CdAg, optimized geometry, DFT PBE-GGA" delta_e_f_ev_per_atom=-0.221 crystal_system=orthorhombic de_polymorph_mev_per_atom=0 pbc="T T T"
La 2.743 8.964 4.116
La 2.743 5.096 4.116
La 2.743 1.268 4.116
La 2.743 -1.268 1.372
La 2.743 -5.096 1.372
La 2.743 -8.964 1.372
Cd 2.743 7.084 1.372
Cd 2.743 -7.084 4.116
Ag 2.743 3.101 1.372
Ag 2.743 -3.101 4.116

---

Record 3
16
Lattice="7.777 0.000 0.000 0.000 7.777 0.000 0.000 0.000 8.152" Properties=species:S:1:pos:R:3 comment="La5Cd2Ag, optimized geometry, DFT PBE-GGA" delta_e_f_ev_per_atom=-0.168 crystal_system=tetragonal pbc="T T T"
La 0.000 0.000 0.000
La 1.944 1.944 2.040
La 1.945 1.945 6.116
La 1.944 5.833 2.040
La 1.945 5.832 6.116
La 3.888 3.888 4.076
La 5.833 1.944 2.040
La 5.832 1.945 6.116
La 5.833 5.833 2.040
La 5.832 5.832 6.116
Cd 0.000 3.888 0.003
Cd 0.000 3.888 4.079
Cd 3.888 0.000 0.003
Cd 3.888 0.000 4.079
Ag 0.000 0.000 4.082
Ag 3.888 3.888 0.006

---

Record 4
16
Lattice="5.057 0.000 0.000 0.000 5.057 0.000 0.000 0.000 20.216" Properties=species:S:1:pos:R:3 comment="La12Cd3Ag, optimized geometry, DFT PBE-GGA" delta_e_f_ev_per_atom=-0.102 crystal_system=tetragonal pbc="T T T"
La 0.000 0.000 0.000
La 0.000 0.000 5.009
La 0.000 0.000 10.108
La 0.000 0.000 15.208
La 0.000 2.528 2.488
La 0.000 2.528 7.565
La 0.000 2.528 12.651
La 0.000 2.528 17.729
La 2.528 0.000 2.488
La 2.528 0.000 7.565
La 2.528 0.000 12.651
La 2.528 0.000 17.729
Cd 2.528 2.528 5.023
Cd 2.528 2.528 10.108
Cd 2.528 2.528 15.193
Ag 2.528 2.528 0.000

---

Record 5
12
Lattice="5.509 0.000 0.000 0.000 16.489 0.000 0.000 0.000 3.911" Properties=species:S:1:pos:R:3 comment="La3Cd2Ag, optimized geometry, DFT PBE-GGA" delta_e_f_ev_per_atom=-0.305 crystal_system=orthorhombic pbc="T T T"
La 0.000 0.000 0.000
La 0.000 5.613 0.000
La 0.000 10.877 0.000
La 2.754 2.632 0.000
La 2.754 8.245 0.000
La 2.754 13.857 0.000
Cd 0.000 2.873 1.955
Cd 0.000 13.616 1.955
Cd 2.754 5.372 1.955
Cd 2.754 11.118 1.955
Ag 0.000 8.245 1.955
Ag 2.754 0.000 1.955

---

Record 6
6
Lattice="3.921 0.000 0.000 0.000 3.921 0.000 0.000 0.000 11.557" Properties=species:S:1:pos:R:3 comment="La3Cd2Ag, optimized geometry, DFT PBE-GGA" delta_e_f_ev_per_atom=-0.305 crystal_system=tetragonal pbc="T T T"
La 0.000 0.000 0.000
La 0.000 0.000 3.927
La 0.000 0.000 7.630
Cd 1.961 1.961 1.936
Cd 1.961 1.961 9.621
Ag 1.961 1.961 5.779

---

Record 7
19
Lattice="4.869 2.811 4.795 -4.869 2.811 4.795 0.000 -5.622 4.795" Properties=species:S:1:pos:R:3 comment="La2Cd2Ag15, optimized geometry, DFT PBE-GGA" delta_e_f_ev_per_atom=-0.107 crystal_system=trigonal pbc="T T T"
La 0.000 0.000 2.175
La 0.000 0.000 12.209
Cd 0.000 0.000 5.707
Cd 0.000 0.000 8.677
Ag -2.435 -1.406 4.795
Ag 0.000 -2.858 4.576
Ag -2.475 1.429 4.576
Ag -1.476 -2.556 7.192
Ag -2.952 0.000 7.192
Ag -2.475 -1.429 9.807
Ag -2.434 1.406 9.589
Ag 1.476 -2.556 7.192
Ag 0.000 2.811 4.795
Ag -1.476 2.556 7.192
Ag 2.475 1.429 4.576
Ag 2.952 0.000 7.192
Ag 1.476 2.556 7.192
Ag 2.475 -1.429 9.807
Ag 0.000 2.858 9.807

---

Record 8
16
Lattice="5.394 0.000 0.000 0.000 5.394 0.000 0.000 0.000 18.090" Properties=species:S:1:pos:R:3 comment="La6CdAg, optimized geometry, DFT PBE-GGA" delta_e_f_ev_per_atom=-0.137 crystal_system=tetragonal pbc="T T T"
La 0.000 0.000 4.508
La 0.000 0.000 13.583
La 0.000 2.697 1.991
La 0.000 2.697 7.054
La 0.000 2.697 11.037
La 0.000 2.697 16.099
La 2.697 0.000 1.991
La 2.697 0.000 7.054
La 2.697 0.000 11.037
La 2.697 0.000 16.099
La 2.697 2.697 4.538
La 2.697 2.697 13.553
Cd 0.000 0.000 0.000
Cd 2.697 2.697 9.045
Ag 0.000 0.000 9.045
Ag 2.697 2.697 0.000

---

| no. | total moment (μB/f.u.) |
| --- | --- |
| 1 | 2.9 |
| 2 | 0.5 |
| 3 | 0.0 |
| 4 | 0.0 |
| 5 | 0.7 |
| 6 | 0.7 |
| 7 | 0.0 |
| 8 | 0.0 |